# LaPuTh2Bi4 | Alexandria via LeMat-Bulk | PBE-GGA | optimized geometry
# * density: 10.040 g cm⁻³
# * energy relative to the elements: -0.665 eV/atom
data_LaPuTh2Bi4
_cell_length_a 7.990
_cell_length_b 4.619
_cell_length_c 8.002
_cell_angle_alpha 90.00
_cell_angle_beta 109.51
_cell_angle_gamma 90.00
_space_group_name_H-M_alt 'P 1 2/m 1'
_space_group_IT_number 10
loop_
_space_group_symop_operation_xyz
'x,y,z'
'-x,-y,-z'
'-x,y,-z'
'x,-y,z'
loop_
_atom_site_label
_atom_site_fract_x
_atom_site_fract_y
_atom_site_fract_z
_atom_site_occupancy
La1 0.000 0.000 0.000 1
Pu1 0.500 0.500 0.000 1
Th1 0.000 0.500 0.500 1
Th2 0.500 0.000 0.500 1
Bi1 0.253 0.000 0.750 1
Bi2 0.254 0.500 0.253 1

# YAl2Tc | Alexandria via LeMat-Bulk | PBE-GGA | optimized geometry
# * density: 5.607 g cm⁻³
# * energy relative to the elements: -0.242 eV/atom
data_YAl2Tc
_cell_length_a 4.372
_cell_length_b 4.372
_cell_length_c 7.465
_cell_angle_alpha 90.00
_cell_angle_beta 90.00
_cell_angle_gamma 90.00
_space_group_name_H-M_alt 'I 4/m m m'
_space_group_IT_number 139
_space_group_name_Hall '-I 4 2'
loop_
_atom_site_label
_atom_site_fract_x
_atom_site_fract_y
_atom_site_fract_z
_atom_site_occupancy
Y1 0.000 0.000 0.000 1
Al1 0.000 0.500 0.250 1
Tc1 0.000 0.000 0.500 1

# AuC2 | Alexandria via LeMat-Bulk | PBE-GGA | optimized geometry
# * density: 6.619 g cm⁻³
# * energy relative to the elements: 1.276 eV/atom
data_AuC2
_cell_length_a 3.127
_cell_length_b 4.119
_cell_length_c 4.965
_cell_angle_alpha 114.14
_cell_angle_beta 106.30
_cell_angle_gamma 90.49
_space_group_name_H-M_alt 'P -1'
_space_group_IT_number 2
loop_
_space_group_symop_operation_xyz
'x,y,z'
'-x,-y,-z'
loop_
_atom_site_label
_atom_site_fract_x
_atom_site_fract_y
_atom_site_fract_z
_atom_site_occupancy
Au1 0.000 0.000 0.000 1
C1 0.487 0.655 0.000 1

# Nd2Y3Er6Pu | Alexandria via LeMat-Bulk | PBE-GGA | optimized geometry
# * density: 7.952 g cm⁻³
# * energy relative to the elements: 0.051 eV/atom
data_Nd2Y3Er6Pu
_cell_length_a 6.143
_cell_length_b 10.647
_cell_length_c 11.692
_cell_angle_alpha 90.00
_cell_angle_beta 100.13
_cell_angle_gamma 90.00
_space_group_name_H-M_alt 'C 1 2/m 1'
_space_group_IT_number 12
loop_
_space_group_symop_operation_xyz
'x,y,z'
'-x,-y,-z'
'-x,y,-z'
'x,-y,z'
'x+1/2,y+1/2,z'
'-x+1/2,-y+1/2,-z'
'-x+1/2,y+1/2,-z'
'x+1/2,-y+1/2,z'
loop_
_atom_site_label
_atom_site_fract_x
_atom_site_fract_y
_atom_site_fract_z
_atom_site_occupancy
Nd1 0.000 0.167 0.000 1
Y1 0.000 0.000 0.500 1
Y2 0.000 0.333 0.500 1
Er1 0.246 0.500 0.750 1
Er2 0.247 0.336 0.250 1
Pu1 0.000 0.500 0.000 1